No. 1
DFT (PBE) results for a geometry-optimized BaCa2Se structure.

magnetization: 0.00 μB per formula unit
crystal system: tetragonal
formation energy (no corrections): -2.350 eV per formula unit

The structure in extended XYZ format:
```
4
Lattice="-5.492 3.987 3.051 -7.255 -0.888 -1.393 6.159 -3.802 1.727" Properties=species:S:1:pos:R:3 pbc="T T T"
Ca -6.374 1.549 0.829
Ca 0.000 0.000 0.000
Ba -2.854 0.867 2.804
Se -3.735 -1.570 0.582
```

***

No. 2
DFT (PBE) results for a geometry-optimized BaCa2Se structure.

magnetization: 0.00 μB per formula unit
crystal system: tetragonal
formation energy (no corrections): -3.225 eV per formula unit

The structure in extended XYZ format:
```
4
Lattice="3.784 0.000 0.000 0.000 3.784 0.000 0.000 0.000 10.239" Properties=species:S:1:pos:R:3 pbc="T T T"
Ca 0.000 0.000 0.828
Ca 0.000 0.000 4.291
Se 1.892 1.892 2.560
Ba 1.892 1.892 7.679
```

***

No. 3
DFT (PBE) results for a geometry-optimized BaCa3Se structure.

magnetization: 4.18 μB per formula unit
crystal system: cubic
polymorph energy (0 for the lowest one): 1490 meV per atom
formation energy (no corrections): 4.491 eV per formula unit

The structure in extended XYZ format:
```
5
Lattice="-2.307 5.448 1.849 -4.350 -0.348 -4.402 -3.765 -2.936 3.953" Properties=species:S:1:pos:R:3 pbc="T T T"
Ca -2.175 -0.174 -2.201
Ca -1.154 2.724 0.924
Ca -1.883 -1.468 1.977
Se -5.211 1.082 0.700
Ba 0.000 0.000 0.000
```

***

No. 4
DFT (PBE) results for a geometry-optimized Ba2CaSe3 structure.

magnetization: 0.00 μB per formula unit
crystal system: orthorhombic
formation energy (no corrections): -12.001 eV per formula unit

The structure in extended XYZ format:
```
24
Lattice="-1.914 -7.360 -2.190 4.557 -0.256 6.465 -12.487 4.363 5.754" Properties=species:S:1:pos:R:3 pbc="T T T"
Ca -7.974 -3.346 8.708
Ca -5.174 0.242 8.500
Ca -1.435 0.056 5.857
Ca -1.869 0.093 1.321
Se -1.686 -5.673 5.737
Se 1.025 -1.794 5.717
Se 2.036 -5.867 3.293
Se -2.278 -5.628 1.312
Se -8.278 2.287 4.131
Se -2.940 -1.582 3.676
Se -7.513 2.225 8.801
Se -2.697 -1.600 8.160
Se -10.921 -1.309 4.228
Se 0.607 -1.749 0.982
Se -6.784 -1.539 6.514
Se -3.911 1.899 6.196
Ba -4.240 -3.532 6.068
Ba -9.323 0.463 6.590
Ba -5.604 0.278 3.961
Ba -4.698 -3.494 1.549
Ba -8.381 -3.311 4.152
Ba -0.520 -3.717 3.439
Ba -0.978 -3.679 -1.080
Ba -12.101 -3.127 6.781
```

***

No. 5
DFT (PBE) results for a geometry-optimized BaCa2Se structure.

magnetization: 0.41 μB per formula unit
crystal system: orthorhombic
formation energy (no corrections): -3.432 eV per formula unit

The structure in extended XYZ format:
```
4
Lattice="4.102 0.000 0.000 0.000 6.925 -0.018 0.000 3.659 5.884" Properties=species:S:1:pos:R:3 pbc="T T T"
Ca 0.000 0.831 0.459
Ca 0.000 4.461 2.475
Se 2.051 2.646 1.467
Ba 2.051 7.937 4.400
```

***

No. 6
DFT (PBE) results for a geometry-optimized Ba2CaSe structure.

magnetization: 0.00 μB per formula unit
crystal system: tetragonal
formation energy (no corrections): -3.208 eV per formula unit

The structure in extended XYZ format:
```
4
Lattice="3.956 0.000 0.000 0.000 3.956 0.000 0.000 0.000 10.728" Properties=species:S:1:pos:R:3 pbc="T T T"
Se 1.978 1.978 7.763
Ba 0.000 0.000 9.871
Ba 1.978 1.978 2.939
Ca 0.000 0.000 6.245
```

***

No. 7
DFT (PBE) results for a geometry-optimized BaCa2Se structure.

magnetization: 0.00 μB per formula unit
crystal system: orthorhombic
formation energy (no corrections): -3.436 eV per formula unit

The structure in extended XYZ format:
```
4
Lattice="-5.472 -3.375 -3.273 -4.016 -4.710 3.706 2.410 6.748 -0.839" Properties=species:S:1:pos:R:3 pbc="T T T"
Se -3.903 -0.335 -1.948
Ca -8.883 -7.570 0.405
Ca -5.349 -4.558 0.244
Ba -3.175 -1.003 1.542
```

***

No. 8
DFT (PBE) results for a geometry-optimized BaCaSe structure.

magnetization: 0.00 μB per formula unit
crystal system: tetragonal
polymorph energy (0 for the lowest one): 85 meV per atom
formation energy (no corrections): -3.375 eV per formula unit

The structure in extended XYZ format:
```
3
Lattice="-1.488 3.713 -6.491 1.337 1.203 -7.409 -2.590 -2.234 -1.850" Properties=species:S:1:pos:R:3 pbc="T T T"
Ca -1.888 -0.175 -5.319
Ba -2.515 -2.014 -2.220
Se -0.928 2.639 -10.061
```